*one*
Density functional theory data (PBE-GGA) for a relaxed structure of HfPbF2.

Summary:
Density, kg/m³: 8108

CIF file:
```
data_HfPbF2
_cell_length_a 3.3063
_cell_length_b 3.3063
_cell_length_c 27.4978
_cell_angle_alpha 90.00
_cell_angle_beta 90.00
_cell_angle_gamma 120.00
_space_group_name_H-M_alt 'R -3 m'
_space_group_IT_number 166
_space_group_name_Hall '-R 3 2"'
loop_
_atom_site_label
_atom_site_fract_x
_atom_site_fract_y
_atom_site_fract_z
Hf1 0.0000 0.0000 0.0000
Pb1 0.0000 0.0000 0.5000
F1 0.0000 0.0000 0.0713
```

*two*
Density functional theory data (PBE-GGA) for a relaxed structure of HfPbF2.

Summary:
Density, kg/m³: 9324

CIF file:
```
data_HfPbF2
_cell_length_a 4.6425
_cell_length_b 4.6425
_cell_length_c 14.0034
_cell_angle_alpha 90.00
_cell_angle_beta 90.00
_cell_angle_gamma 90.00
_space_group_name_H-M_alt 'I -4 2 d'
_space_group_IT_number 122
_space_group_name_Hall 'I -4 2bw'
loop_
_atom_site_label
_atom_site_fract_x
_atom_site_fract_y
_atom_site_fract_z
Hf1 0.0000 0.0000 0.0000
Pb1 0.0000 0.0000 0.5000
F1 0.0380 0.2500 0.1250
```

Which of them is the least stable? Correct choice: *two*.